Compound: AcErIn
Source: Alexandria
Functional: PBE
Structure: optimized geometry

The space group is P3m1 (No. 156) and the conventional cell measures 5.4261, 5.4261 and 3.9715 Å, with angles of 90.00, 90.00 and 120.00 degrees. The distinct sites, in fractional coordinates, are Ac at (0.0000, 0.0000, 0.0000), Er at (0.3333, 0.6667, 0.5011) and In at (0.6667, 0.3333, 0.4979).

For the formation energy, the calculation gives -209.8 meV per atom. As for the density: 8.3 Mg/m³. For the total magnetization, the calculation gives 0.00 μB per atom. Its energy above the lowest structure with this stoichiometry is 0.30 eV per formula unit. The density of states at the Fermi level is 2.00 states/eV per cell.

Compound: CaNdTlNi
Source: Alexandria
Functional: PBE
Structure: optimized geometry

The space group is F-43m (No. 216) and the conventional cell measures 7.408, 7.408 and 7.408 Å, with angles of 90.00, 90.00 and 90.00 degrees. The distinct sites, in fractional coordinates, are Ca at (0.000, 0.000, 0.000), Nd at (0.000, 0.000, 0.500), Tl at (0.250, 0.250, 0.750) and Ni at (0.250, 0.250, 0.250).

For the formation energy, the calculation gives -172.1 meV per atom. As for the density: 7.3 Mg/m³. For the total magnetization, the calculation gives 0.00 μB per atom. The density of states at the Fermi level is 13.51 states/eV per cell.